# 1
Dy2BeSi3Ni12 | PBE | optimized geometry

The space group is R-3m (No. 166, hexagonal axes) and the conventional cell measures 6.1756, 6.1756 and 22.5899 Å, with angles of 90.00, 90.00 and 120.00 degrees. The asymmetric unit holds Dy at (0.0000, 0.0000, 0.1551), Be at (0.0000, 0.0000, 0.5000), Si at (0.0000, 0.5000, 0.0000), Ni at (0.0590, 0.5295, 0.1013) and Ni at (0.0641, 0.5321, 0.6198).

As for the formation energy without anion corrections: -154 meV/atom. The magnetic moment is 0.00 μB/f.u. The calculation puts the density of states at the Fermi level at 20.8 states/eV per cell.

=====

# 2
DyBeSi2Ni | PBE | optimized geometry

The space group is I-4m2 (No. 119) and the conventional cell measures 3.871, 3.871 and 9.769 Å, with angles of 90.00, 90.00 and 90.00 degrees. The asymmetric unit holds Dy at (0.000, 0.000, 0.000), Be at (0.000, 0.500, 0.750), Si at (0.000, 0.000, 0.377) and Ni at (0.000, 0.500, 0.250).

As for the formation energy without anion corrections: -701 meV/atom. The magnetic moment is 0.00 μB/f.u. The calculation puts the density of states at the Fermi level at 2.5 states/eV per cell.

=====

# 3
Dy2BeSi3Ni4 | PBE | optimized geometry

The space group is P-4m2 (No. 115) and the conventional cell measures 3.935, 3.935 and 9.417 Å, with angles of 90.00, 90.00 and 90.00 degrees. The asymmetric unit holds Dy at (0.000, 0.500, 0.244), Be at (0.500, 0.500, 0.000), Si at (0.000, 0.000, 0.000), Si at (0.000, 0.500, 0.633), Ni at (0.000, 0.000, 0.500), Ni at (0.000, 0.500, 0.877) and Ni at (0.500, 0.500, 0.500).

As for the formation energy without anion corrections: -750 meV/atom. The magnetic moment is 0.00 μB/f.u. The calculation puts the density of states at the Fermi level at 6.6 states/eV per cell.

=====

# 4
TbDyBeNi | PBE | optimized geometry

The space group is F-43m (No. 216) and the conventional cell measures 6.800, 6.800 and 6.800 Å, with angles of 90.00, 90.00 and 90.00 degrees. The asymmetric unit holds Tb at (0.000, 0.000, 0.000), Dy at (0.000, 0.000, 0.500), Be at (0.250, 0.250, 0.250) and Ni at (0.250, 0.250, 0.750).

The magnetic moment is 0.00 μB/f.u. The calculation puts the density of states at the Fermi level at 9.4 states/eV per cell. Its energy of formation is -0.129 eV per atom.

=====

# 5
DyTmBeNi | PBE | optimized geometry

The space group is F-43m (No. 216) and the conventional cell measures 6.733, 6.733 and 6.733 Å, with angles of 90.00, 90.00 and 90.00 degrees. The asymmetric unit holds Dy at (0.000, 0.000, 0.000), Tm at (0.000, 0.000, 0.500), Be at (0.250, 0.250, 0.750) and Ni at (0.250, 0.250, 0.250).

The magnetic moment is 0.00 μB/f.u. The calculation puts the density of states at the Fermi level at 9.8 states/eV per cell. Its energy of formation is -0.161 eV per atom.

=====

# 6
DyYBeNi | PBE | optimized geometry

The space group is F-43m (No. 216) and the conventional cell measures 6.799, 6.799 and 6.799 Å, with angles of 90.00, 90.00 and 90.00 degrees. The asymmetric unit holds Dy at (0.000, 0.000, 0.000), Y at (0.000, 0.000, 0.500), Be at (0.250, 0.250, 0.750) and Ni at (0.250, 0.250, 0.250).

The magnetic moment is 0.00 μB/f.u. The calculation puts the density of states at the Fermi level at 10.2 states/eV per cell. Its energy of formation is -0.132 eV per atom.

=====

The evaluated DFT total energy for the records listed, in turn: -5.631 -5.692 -5.982 -4.814 -4.807 -5.275 eV/atom.